Below is an optimized crystal structure of LiPm4Zn2Cd, with properties calculated at the GGA-PBE level.

Lattice parameters (Å, degrees): 9.1334 9.1334 9.1334 33.52 33.52 33.52
Fractional positions:
Li 0.0000 0.0000 0.0000
Pm 0.1236 0.1236 0.1236
Pm 0.3740 0.3740 0.3740
Pm 0.6260 0.6260 0.6260
Pm 0.8764 0.8764 0.8764
Zn 0.2523 0.2523 0.2523
Zn 0.7477 0.7477 0.7477
Cd 0.5000 0.5000 0.5000

Computed properties:
ΔE_f = -1.73 eV/f.u.
Density of states at the Fermi level = 8.22 states/eV/cell

Below is an optimized crystal structure of CaScNO2, with properties calculated at the GGA-PBE level.

Lattice parameters (Å, degrees): 4.1772 4.1772 4.1335 90.00 90.00 90.00
Fractional positions:
Ca 0.0000 0.0000 0.0000
Sc 0.5000 0.5000 0.5000
N 0.0000 0.0000 0.5000
O 0.0000 0.5000 0.0000
O 0.5000 0.0000 0.0000

Computed properties:
Density of states at the Fermi level = 3.31 states/eV/cell
Formation energy (no corrections) = -504 meV/atom

Below is an optimized crystal structure of PuBeGaPt3, with properties calculated at the GGA-PBE level.

Lattice parameters (Å, degrees): 6.7659 6.7659 5.5221 90.00 90.00 118.77
Fractional positions:
Pu 0.2097 0.7903 0.7500
Pu 0.7903 0.2097 0.2500
Be 0.1105 0.8895 0.2500
Be 0.8895 0.1105 0.7500
Ga 0.4749 0.5251 0.7500
Ga 0.5251 0.4749 0.2500
Pt 0.1997 0.1997 0.0000
Pt 0.1997 0.1997 0.5000
Pt 0.3004 0.6996 0.2500
Pt 0.6996 0.3004 0.7500
Pt 0.8003 0.8003 0.0000
Pt 0.8003 0.8003 0.5000

Computed properties:
ΔE_f = -3.17 eV/f.u.
Density of states at the Fermi level = 29.19 states/eV/cell

Below is an optimized crystal structure of Ac6La16Tb7, with properties calculated at the GGA-PBE level.

Lattice parameters (Å, degrees): 11.5974 11.5974 11.5974 60.00 60.00 60.00
Fractional positions:
Ac 0.2026 0.2026 0.7974
Ac 0.2026 0.7974 0.2026
Ac 0.2026 0.7974 0.7974
Ac 0.7974 0.2026 0.2026
Ac 0.7974 0.2026 0.7974
Ac 0.7974 0.7974 0.2026
La 0.1341 0.6220 0.6220
La 0.1580 0.1580 0.1580
La 0.1580 0.1580 0.5259
La 0.1580 0.5259 0.1580
La 0.3780 0.3780 0.3780
La 0.3780 0.3780 0.8659
La 0.3780 0.8659 0.3780
La 0.4741 0.8420 0.8420
La 0.5259 0.1580 0.1580
La 0.6220 0.1341 0.6220
La 0.6220 0.6220 0.1341
La 0.6220 0.6220 0.6220
La 0.8420 0.4741 0.8420
La 0.8420 0.8420 0.4741
La 0.8420 0.8420 0.8420
La 0.8659 0.3780 0.3780
Tb 0.0000 0.0000 0.5000
Tb 0.0000 0.5000 0.0000
Tb 0.0000 0.5000 0.5000
Tb 0.5000 0.0000 0.0000
Tb 0.5000 0.0000 0.5000
Tb 0.5000 0.5000 0.0000
Tb 0.5000 0.5000 0.5000

Computed properties:
ΔE_f = 4.38 eV/f.u.
Density of states at the Fermi level = 57.25 states/eV/cell

Below is an optimized crystal structure of Ho6MgAl2, with properties calculated at the GGA-PBE level.

Lattice parameters (Å, degrees): 8.7959 8.7959 4.9970 106.42 106.42 49.09
Fractional positions:
Ho 0.0756 0.5851 0.3301
Ho 0.2358 0.7642 0.0000
Ho 0.4149 0.9244 0.6699
Ho 0.5851 0.0756 0.3301
Ho 0.7642 0.2358 0.0000
Ho 0.9244 0.4149 0.6699
Mg 0.5000 0.5000 0.5000
Al 0.1681 0.1681 0.1683
Al 0.8319 0.8319 0.8317

Computed properties:
ΔE_f = 1.25 eV/f.u.
Density of states at the Fermi level = 13.30 states/eV/cell

Below is an optimized crystal structure of La3Tm2, with properties calculated at the GGA-PBE level.

Lattice parameters (Å, degrees): 6.9008 6.9008 9.4670 108.12 108.12 55.11
Fractional positions:
La 0.0273 0.3630 0.6500
La 0.1740 0.8260 0.7500
La 0.3630 0.0273 0.1500
La 0.6370 0.9727 0.8500
La 0.8260 0.1740 0.2500
La 0.9727 0.6370 0.3500
Tm 0.2351 0.5627 0.0508
Tm 0.4373 0.7649 0.4492
Tm 0.5627 0.2351 0.5508
Tm 0.7649 0.4373 0.9492

Computed properties:
ΔE_f = 0.16 eV/f.u.
Density of states at the Fermi level = 17.79 states/eV/cell

These records have total magnetic moment values of 0.0, 1.0, 10.4, 0.0, 0.0, 0.0 Bohr magnetons per cell, in the order they appear.